[1]
! GGA-PBE Mg2PbW, optimized geometry; values from VASP
! Formation enthalpy at 0 K in eV per atom: 0.3828
! Space-group type: P4/mmm
! Total DFT energy (no corrections) in hartree per atom: -0.168
&SYSTEM
  ibrav = 0, nat = 4, ntyp = 3
/
ATOMIC_SPECIES
Mg 24.30 Mg.upf
W 183.84 W.upf
Pb 207.20 Pb.upf
CELL_PARAMETERS angstrom
-1.4984 -0.8471 -2.4151
-1.8893 -1.5217 1.7059
-5.6428 7.8456 0.7491
ATOMIC_POSITIONS angstrom
Mg -3.0309 4.2141 0.4023
W -5.9260 4.6997 0.2072
Pb -3.1045 0.7770 -0.1673
Mg -5.4333 7.5542 0.7212

***

[2]
! GGA-PBE Zr2SnS, optimized geometry; values from VASP
! Space-group type: R-3m
! Relative energy among the computed polymorphs in kJ/mol of formula units: 17
! Total DFT energy (no corrections) in hartree per atom: -0.266
&SYSTEM
  ibrav = 0, nat = 4, ntyp = 3
/
ATOMIC_SPECIES
Zr 91.22 Zr.upf
S 32.06 S.upf
Sn 118.71 Sn.upf
CELL_PARAMETERS angstrom
3.7638 0.0000 0.0000
1.8819 3.2596 0.0000
1.8819 1.0865 6.9128
ATOMIC_POSITIONS angstrom
Zr 1.8819 1.0865 1.3348
S 0.0000 0.0000 0.0000
Zr 5.6457 3.2596 5.5780
Sn 3.7638 2.1730 3.4564

***

[3]
! GGA-PBE Fe3Co2Pt3, optimized geometry; values from VASP
! Formation enthalpy at 0 K in eV per atom: -0.1583
! Space-group type: Immm
! Total DFT energy (no corrections) in hartree per atom: -0.271
&SYSTEM
  ibrav = 0, nat = 8, ntyp = 3
/
ATOMIC_SPECIES
Pt 195.08 Pt.upf
Co 58.93 Co.upf
Fe 55.84 Fe.upf
CELL_PARAMETERS angstrom
-0.4580 -3.2529 -1.7271
0.0133 -1.7898 3.3675
-7.2504 3.3274 -0.3568
ATOMIC_POSITIONS angstrom
Pt -1.9431 -0.6843 1.8041
Co -3.7281 0.4020 0.2313
Fe -0.2223 -2.5214 0.8202
Co -3.9669 -2.1173 1.0522
Fe -5.4688 -0.3050 2.0246
Pt 0.0000 0.0000 0.0000
Pt -5.7519 -1.0310 -0.5206
Fe -2.2262 -1.4103 -0.7411

***

[4]
! GGA-PBE CsTe2AsN, optimized geometry; values from VASP
! Space-group type: P4/mmm
! Relative energy among the computed polymorphs in kJ/mol of formula units: 766
! Total DFT energy (no corrections) in hartree per atom: -0.075
&SYSTEM
  ibrav = 0, nat = 5, ntyp = 4
/
ATOMIC_SPECIES
Te 127.60 Te.upf
N 14.01 N.upf
As 74.92 As.upf
Cs 132.91 Cs.upf
CELL_PARAMETERS angstrom
6.3941 0.0000 0.0000
0.0000 6.3941 0.0000
0.0000 0.0000 4.1807
ATOMIC_POSITIONS angstrom
Te 3.1971 0.0000 0.0000
N 0.0000 0.0000 2.0904
As 3.1971 3.1971 2.0904
Cs 0.0000 0.0000 0.0000
Te 0.0000 3.1971 0.0000

***

[5]
! GGA-PBE AcNdBi2, optimized geometry; values from VASP
! Formation enthalpy at 0 K in eV per atom: -0.9278
! Space-group type: P6_3/mmc
! Relative energy among the computed polymorphs in kJ/mol of formula units: 15
! Total DFT energy (no corrections) in hartree per atom: -0.187
&SYSTEM
  ibrav = 0, nat = 8, ntyp = 3
/
ATOMIC_SPECIES
Nd 144.24 Nd.upf
Ac 227.00 Ac.upf
Bi 208.98 Bi.upf
CELL_PARAMETERS angstrom
4.7194 0.0000 0.0000
-2.3597 4.0871 0.0000
0.0000 0.0000 15.6607
ATOMIC_POSITIONS angstrom
Nd 0.0000 0.0000 0.0000
Ac 0.0000 2.7247 11.7455
Bi 0.0000 2.7247 1.8193
Bi 0.0000 2.7247 6.0111
Nd 0.0000 0.0000 7.8303
Ac 2.3597 1.3624 3.9152
Bi 2.3597 1.3624 9.6496
Bi 2.3597 1.3624 13.8414

***

[6]
! GGA-PBE La2Pr6Nd3, optimized geometry; values from VASP
! Formation enthalpy at 0 K in eV per atom: 0.0126
! Space-group type: P-1
! Relative energy among the computed polymorphs in kJ/mol of formula units: 0
! Total DFT energy (no corrections) in hartree per atom: -0.176
&SYSTEM
  ibrav = 0, nat = 11, ntyp = 3
/
ATOMIC_SPECIES
La 138.91 La.upf
Pr 140.91 Pr.upf
Nd 144.24 Nd.upf
CELL_PARAMETERS angstrom
5.9952 -0.9462 2.1951
-0.9985 7.6588 3.0060
4.1807 6.0661 13.4256
ATOMIC_POSITIONS angstrom
La 3.7479 3.4341 3.9859
La 5.4295 9.3446 14.6408
Pr 1.4953 7.8028 5.7788
Pr 6.4628 8.0935 11.3016
Nd 3.9848 7.9487 8.5439
Pr 7.6821 4.9760 12.8479
Pr 2.7146 4.6853 7.3251
Pr 6.2263 3.5808 6.7570
Nd 5.1926 4.8301 10.0828
Pr 2.9511 9.1980 11.8697
Nd 0.0000 0.0000 0.0000